The following is a PBE-GGA calculation of a relaxed structure of LaPrHo2Tm, from the Alexandria database.

The structure in POSCAR format:
```
LaPrHo2Tm
1.0
-0.245 4.992 2.569
3.738 -3.407 6.978
6.538 1.698 -2.676
Tm La Pr Ho
2 2 2 4
Direct
0.500 0.000 0.750
0.500 0.000 0.250
0.000 0.000 0.500
0.000 0.000 0.000
0.000 0.500 0.250
0.000 0.500 0.750
0.500 0.317 0.500
0.500 0.683 0.000
0.500 0.683 0.500
0.500 0.317 0.000
```

Output
Energy (eV per atom): -4.439
Density of states at the Fermi level (states/eV/f.u.): 7.52
Formation energy (eV per atom): 0.23

***

The following is a PBE-GGA calculation of a relaxed structure of BaSrBr2, from the Alexandria database.

The structure in POSCAR format:
```
BaSrBr2
1.0
-1.357 1.575 -3.916
-3.933 -1.587 0.725
-2.117 6.811 3.472
Sr Br Ba
1 2 1
Direct
0.500 0.250 0.250
0.000 0.251 0.535
0.000 0.249 0.965
0.500 0.750 0.750
```

Output
Energy (eV per atom): -3.177
ΔE to the lowest computed polymorph (meV/atom): 61
Density of states at the Fermi level (states/eV/f.u.): 2.35
Energy relative to the elements, uncorrected (eV per atom): -1.440

***

The following is a PBE-GGA calculation of a relaxed structure of HfCrSiW2, from the Alexandria database.

The structure in POSCAR format:
```
HfCrSiW2
1.0
4.585 0.000 0.000
0.000 4.191 0.000
0.000 0.000 4.585
Si W Cr Hf
1 2 1 1
Direct
0.000 0.000 0.000
0.500 0.000 0.000
0.000 0.000 0.500
0.000 0.500 0.000
0.500 0.500 0.500
```

Output
Energy (eV per atom): -9.394
Density of states at the Fermi level (states/eV/f.u.): 5.50
Energy relative to the elements, uncorrected (eV per atom): 0.788

***

The following is a PBE-GGA calculation of a relaxed structure of Ca2BeIn, from the Alexandria database.

The structure in POSCAR format:
```
Ca2BeIn
1.0
5.186 0.000 0.000
0.000 5.185 0.000
0.000 0.000 3.823
Ca In Be
2 1 1
Direct
0.500 0.500 0.000
0.000 0.000 0.000
0.500 0.000 0.500
0.000 0.500 0.500
```

Output
Energy (eV per atom): -2.606
ΔE to the lowest computed polymorph (meV/atom): 55
Density of states at the Fermi level (states/eV/f.u.): 2.52
Formation energy (eV per atom): 0.01

***

The following is a PBE-GGA calculation of a relaxed structure of LaTiZnGe2, from the Alexandria database.

The structure in POSCAR format:
```
LaTiZnGe2
1.0
-2.754 3.786 0.923
-4.245 -3.213 0.512
0.917 -0.469 4.659
Ti Ge Zn La
1 2 1 1
Direct
0.500 0.500 0.500
0.000 0.000 0.500
0.500 0.000 0.000
0.000 0.000 0.000
0.000 0.500 0.000
```

Output
Energy (eV per atom): -4.101
Density of states at the Fermi level (states/eV/f.u.): 6.54
Formation energy (eV per atom): 0.57

***

The following is a PBE-GGA calculation of a relaxed structure of Lu2Se3, from the Alexandria database.

The structure in POSCAR format:
```
Lu2Se3
1.0
-5.159 12.173 1.238
-10.225 7.425 0.976
0.660 2.241 6.543
Lu Se
8 12
Direct
0.502 0.502 0.998
0.252 0.252 0.748
0.084 0.084 0.916
0.916 0.916 0.084
0.166 0.166 0.334
0.748 0.748 0.252
0.998 0.998 0.502
0.334 0.334 0.166
0.322 0.841 0.173
0.928 0.409 0.077
0.494 0.006 0.006
0.756 0.244 0.244
0.244 0.756 0.756
0.409 0.928 0.586
0.006 0.494 0.494
0.841 0.322 0.664
0.586 0.077 0.409
0.664 0.173 0.841
0.077 0.586 0.928
0.173 0.664 0.322
```

Output
Energy (eV per atom): -5.757
Energy relative to the elements, uncorrected (eV per atom): -1.858

***

The following is a PBE-GGA calculation of a relaxed structure of Ta3Cu, from the Alexandria database.

The structure in POSCAR format:
```
Ta3Cu
1.0
5.076 -0.009 0.000
1.895 4.709 0.000
-3.485 -2.350 2.845
Ta Cu
3 1
Direct
0.500 0.500 0.000
0.750 0.250 0.500
0.250 0.750 0.500
0.000 0.000 0.000
```

Output
Energy (eV per atom): -9.749
Density of states at the Fermi level (states/eV/f.u.): 3.81
Formation energy (eV per atom): 0.16

***

The following is a PBE-GGA calculation of a relaxed structure of Cu2SiPd5, from the Alexandria database.

The structure in POSCAR format:
```
Cu2SiPd5
1.0
-3.065 2.113 1.793
-3.553 -2.507 -3.120
-0.971 -7.383 7.039
Pd Si Cu
10 2 4
Direct
0.500 0.327 0.104
0.500 0.673 0.896
0.000 0.603 0.228
0.000 0.500 0.500
0.000 0.897 0.728
0.000 0.397 0.772
0.000 0.000 0.000
0.500 0.173 0.604
0.000 0.103 0.272
0.500 0.827 0.396
0.000 0.000 0.500
0.000 0.500 0.000
0.500 0.655 0.640
0.500 0.155 0.860
0.500 0.345 0.360
0.500 0.845 0.140
```

Output
Energy (eV per atom): -5.306
ΔE to the lowest computed polymorph (meV/atom): 0
Density of states at the Fermi level (states/eV/f.u.): 2.60
Energy relative to the elements, uncorrected (eV per atom): -0.359

***

What is the energy in the sixth record? -5.757 eV per atom

***

Among the records above, which one has the lowest energy? Ta3Cu

***

Copy entry 4 word for word.
The following is a PBE-GGA calculation of a relaxed structure of Ca2BeIn, from the Alexandria database.

The structure in POSCAR format:
```
Ca2BeIn
1.0
5.186 0.000 0.000
0.000 5.185 0.000
0.000 0.000 3.823
Ca In Be
2 1 1
Direct
0.500 0.500 0.000
0.000 0.000 0.000
0.500 0.000 0.500
0.000 0.500 0.500
```

Output
Energy (eV per atom): -2.606
ΔE to the lowest computed polymorph (meV/atom): 55
Density of states at the Fermi level (states/eV/f.u.): 2.52
Formation energy (eV per atom): 0.01